[1]
# LaZrTc2

Crystalline LaZrTc2 at its relaxed geometry (PBE-GGA, Alexandria via LeMat-Bulk).

a = 5.4152 Å, b = 5.4152 Å, c = 5.4152 Å
α = 143.82°, β = 122.08°, γ = 70.23°
Atoms (fractional coordinates):
Zr1 0.7500 0.2500 0.5000
Tc1 0.4999 0.4999 0.0000
Tc2 0.0001 0.0001 0.0000
La1 0.2500 0.7500 0.5000

## Properties
**Mass density**: 9.06 g cm⁻³
**ΔE_f**: 106 kJ/mol of formula units
**Magnetization**: 0.00 μB/f.u.
**E above lowest polymorph**: 211 meV per atom


[2]
# BaCu2Cl

Crystalline BaCu2Cl at its relaxed geometry (PBE-GGA, Alexandria via LeMat-Bulk).

a = 3.6859 Å, b = 3.6859 Å, c = 7.4840 Å
α = 90.00°, β = 90.00°, γ = 89.98°
Atoms (fractional coordinates):
Cu1 0.0000 0.0000 0.1203
Ba1 0.0000 0.0000 0.5051
Cl1 0.5000 0.5000 0.7169
Cu2 0.5000 0.5000 0.1577

## Properties
**Mass density**: 4.90 g cm⁻³
**ΔE_f (raw)**: -0.43 eV/atom
**Magnetization**: 0.00 μB/f.u.
**E above lowest polymorph**: 118 meV per atom


[3]
# KZrFe2Bi

Crystalline KZrFe2Bi at its relaxed geometry (PBE-GGA, Alexandria via LeMat-Bulk).

a = 5.0783 Å, b = 5.7077 Å, c = 5.0783 Å
α = 90.00°, β = 90.00°, γ = 90.00°
Atoms (fractional coordinates):
Zr1 0.0000 0.0000 0.0000
Fe1 0.5000 0.0000 0.0000
K1 0.5000 0.5000 0.5000
Fe2 0.0000 0.0000 0.5000
Bi1 0.0000 0.5000 0.0000

## Properties
**Mass density**: 5.09 g cm⁻³
**ΔE_f**: 443 kJ/mol of formula units
**Magnetization**: 5.75 μB/f.u.


[4]
# K4NpPa3Te8

Crystalline K4NpPa3Te8 at its relaxed geometry (PBE-GGA, Alexandria via LeMat-Bulk).

a = 8.8651 Å, b = 9.8840 Å, c = 8.8651 Å
α = 116.64°, β = 120.00°, γ = 90.00°
Atoms (fractional coordinates):
K1 0.5000 0.0000 0.5000
Pa1 0.5000 0.5000 0.5000
Pa2 0.0000 0.5000 0.5000
K2 0.0000 0.0000 0.5000
Te1 0.2645 0.2852 0.0249
K3 0.0000 0.0000 0.0000
Te2 0.2396 0.7148 0.9751
Te3 0.7385 0.7158 0.4771
Np1 0.0000 0.5000 0.0000
Pa3 0.5000 0.5000 0.0000
Te4 0.7604 0.2852 0.5208
Te5 0.7355 0.7148 0.9751
Te6 0.7604 0.2852 0.0249
Te7 0.2615 0.2842 0.5229
Te8 0.2396 0.7148 0.4792
K4 0.5000 0.0000 0.0000

## Properties
**Mass density**: 6.08 g cm⁻³
**ΔE_f (raw)**: -0.92 eV/atom
**Magnetization**: 10.01 μB/f.u.


[5]
# YTh2Bi4

Crystalline YTh2Bi4 at its relaxed geometry (PBE-GGA, Alexandria via LeMat-Bulk).

a = 8.3237 Å, b = 8.3237 Å, c = 8.3237 Å
α = 109.86°, β = 108.70°, γ = 109.86°
Atoms (fractional coordinates):
Bi1 0.6321 0.7556 0.0359
Bi2 0.6266 0.7444 0.5304
Bi3 0.4696 0.0962 0.2141
Bi4 0.1179 0.9038 0.3734
Th1 0.8750 0.1288 0.5038
Y1 0.7500 0.5000 0.2500
Th2 0.2538 0.6288 0.1250
Bi5 0.2804 0.2444 0.8766
Bi6 0.7859 0.2556 0.8821
Th3 0.4962 0.3712 0.6250
Bi7 0.9641 0.5962 0.7196
Th4 0.3750 0.8712 0.7462
Bi8 0.1234 0.4038 0.3679
Y2 0.0000 0.0000 0.0000

## Properties
**Mass density**: 10.39 g cm⁻³
**ΔE_f**: -431 kJ/mol of formula units
**Magnetization**: 0.00 μB/f.u.


[6]
# Mn2SiMo

Crystalline Mn2SiMo at its relaxed geometry (PBE-GGA, Alexandria via LeMat-Bulk).

a = 4.1788 Å, b = 4.1788 Å, c = 4.1788 Å
α = 60.00°, β = 60.00°, γ = 60.00°
Atoms (fractional coordinates):
Si1 0.2500 0.2500 0.2500
Mo1 0.5000 0.5000 0.5000
Mn1 0.7500 0.7500 0.7500
Mn2 0.0000 0.0000 0.0000

## Properties
**Mass density**: 7.53 g cm⁻³
**ΔE_f (raw)**: -0.14 eV/atom
**Magnetization**: 4.11 μB/f.u.


[7]
# Pm2PrDy2Er

Crystalline Pm2PrDy2Er at its relaxed geometry (PBE-GGA, Alexandria via LeMat-Bulk).

a = 5.6647 Å, b = 9.8756 Å, c = 7.0370 Å
α = 90.00°, β = 90.00°, γ = 90.00°
Atoms (fractional coordinates):
Pm1 0.0000 0.6669 0.7522
Pm2 0.0000 0.3331 0.2478
Dy1 0.0000 0.6666 0.2493
Er1 0.0000 0.0000 0.5000
Er2 0.5000 0.5000 0.0000
Pr1 0.0000 0.0000 0.0000
Pm3 0.5000 0.1669 0.7478
Pm4 0.5000 0.8331 0.2522
Dy2 0.5000 0.1666 0.2507
Pr2 0.5000 0.5000 0.5000
Dy3 0.5000 0.8334 0.7493
Dy4 0.0000 0.3334 0.7507

## Properties
**Mass density**: 7.79 g cm⁻³
**ΔE_f**: 36 kJ/mol of formula units
**Magnetization**: 0.00 μB/f.u.


[8]
# AlFeH3

Crystalline AlFeH3 at its relaxed geometry (PBE-GGA, Alexandria via LeMat-Bulk).

a = 3.4296 Å, b = 3.4296 Å, c = 3.4296 Å
α = 90.00°, β = 90.00°, γ = 90.00°
Atoms (fractional coordinates):
H1 0.0000 0.5000 0.0000
H2 0.0000 0.0000 0.5000
Fe1 0.5000 0.5000 0.5000
H3 0.5000 0.0000 0.0000
Al1 0.0000 0.0000 0.0000

## Properties
**Mass density**: 3.53 g cm⁻³
**Magnetization**: 2.48 μB/f.u.
**E above lowest polymorph**: 743 meV per atom


[9]
# UBeTe2

Crystalline UBeTe2 at its relaxed geometry (PBE-GGA, Alexandria via LeMat-Bulk).

a = 3.4832 Å, b = 3.4832 Å, c = 9.6672 Å
α = 79.62°, β = 79.62°, γ = 60.00°
Atoms (fractional coordinates):
Be1 0.5000 0.5000 0.5000
Te1 0.8894 0.8894 0.3319
Te2 0.1106 0.1106 0.6681
U1 0.0000 0.0000 0.0000

## Properties
**Mass density**: 8.39 g cm⁻³
**ΔE_f (raw)**: 0.32 eV/atom
**Magnetization**: 3.70 μB/f.u.


[10]
# YHoMgRh

Crystalline YHoMgRh at its relaxed geometry (PBE-GGA, Alexandria via LeMat-Bulk).

a = 5.0476 Å, b = 5.0476 Å, c = 5.0476 Å
α = 60.00°, β = 60.00°, γ = 60.00°
Atoms (fractional coordinates):
Rh1 0.2500 0.2500 0.2500
Mg1 0.7500 0.7500 0.7500
Ho1 0.0000 0.0000 0.0000
Y1 0.5000 0.5000 0.5000

## Properties
**Mass density**: 6.96 g cm⁻³
**ΔE_f**: -162 kJ/mol of formula units
**Magnetization**: 0.00 μB/f.u.


[11]
# Pu3BP2Rh9

Crystalline Pu3BP2Rh9 at its relaxed geometry (PBE-GGA, Alexandria via LeMat-Bulk).

a = 6.5113 Å, b = 6.5113 Å, c = 6.9186 Å
α = 90.00°, β = 90.00°, γ = 120.00°
Atoms (fractional coordinates):
P1 0.6667 0.3333 0.7951
Pu1 0.3333 0.6667 0.6615
Rh1 0.1467 0.2933 0.3193
Rh2 0.2933 0.1467 0.6807
Rh3 0.7067 0.8533 0.3193
Rh4 0.8533 0.7067 0.6807
Pu2 0.0000 0.0000 0.0000
B1 0.0000 0.0000 0.5000
Rh5 0.5000 0.0000 0.0000
P2 0.3333 0.6667 0.2049
Rh6 0.8533 0.1467 0.6807
Pu3 0.6667 0.3333 0.3385
Rh7 0.5000 0.5000 0.0000
Rh8 0.0000 0.5000 0.0000
Rh9 0.1467 0.8533 0.3193

## Properties
**Mass density**: 11.31 g cm⁻³
**ΔE_f**: -745 kJ/mol of formula units
**Magnetization**: 5.65 μB/f.u.


[12]
# YAl3CuRh

Crystalline YAl3CuRh at its relaxed geometry (PBE-GGA, Alexandria via LeMat-Bulk).

a = 5.5734 Å, b = 6.3322 Å, c = 6.9214 Å
α = 117.22°, β = 90.00°, γ = 90.00°
Atoms (fractional coordinates):
Al1 0.5000 0.7004 0.0000
Y1 0.2500 0.7200 0.4400
Al2 0.5000 0.2996 0.0000
Al3 0.0000 0.7004 0.0000
Rh1 0.2500 0.9352 0.8703
Al4 0.0000 0.2996 0.0000
Cu1 0.2500 0.3522 0.7044
Al5 0.2500 0.1426 0.2852
Al6 0.7500 0.8574 0.7148
Rh2 0.7500 0.0648 0.1297
Cu2 0.7500 0.6478 0.2956
Y2 0.7500 0.2800 0.5600

## Properties
**Mass density**: 5.14 g cm⁻³
**ΔE_f**: -262 kJ/mol of formula units
**Magnetization**: 0.00 μB/f.u.